1.
The following is a PBE-GGA calculation of RbHfSb2Cl after structural relaxation, from Alexandria via LeMat-Bulk.

As for the crystal system: tetragonal.

The structure belongs to space group P4/mmm (No. 123); the cell edges are 5.9233, 5.9233 and 4.6529 Å and the angles 90.00°, 90.00° and 90.00°. The distinct sites, in fractional coordinates, are Rb at (0.0000, 0.0000, 0.0000), Hf at (0.5000, 0.5000, 0.0000), Sb at (0.0000, 0.5000, 0.5000) and Cl at (0.5000, 0.5000, 0.5000).

---

2.
The following is a PBE-GGA calculation of RbHfSe2Cl after structural relaxation, from Alexandria via LeMat-Bulk.

As for the crystal system: tetragonal.

The structure belongs to space group P4/mmm (No. 123); the cell edges are 5.2446, 5.2446 and 5.1594 Å and the angles 90.00°, 90.00° and 90.00°. The distinct sites, in fractional coordinates, are Rb at (0.0000, 0.0000, 0.0000), Hf at (0.5000, 0.5000, 0.5000), Se at (0.0000, 0.5000, 0.5000) and Cl at (0.5000, 0.5000, 0.0000).

---

3.
The following is a PBE-GGA calculation of RbHfSi2Cl after structural relaxation, from Alexandria via LeMat-Bulk.

As for the crystal system: tetragonal.

The structure belongs to space group P4/mmm (No. 123); the cell edges are 5.4114, 5.4114 and 5.6101 Å and the angles 90.00°, 90.00° and 90.00°. The distinct sites, in fractional coordinates, are Rb at (0.0000, 0.0000, 0.0000), Hf at (0.0000, 0.0000, 0.5000), Si at (0.0000, 0.5000, 0.0000) and Cl at (0.5000, 0.5000, 0.5000).

---

4.
The following is a PBE-GGA calculation of Rb2SrHfCl6 after structural relaxation, from Alexandria via LeMat-Bulk.

As for the crystal system: cubic.

The structure belongs to space group Fm-3m (No. 225); the cell edges are 10.8245, 10.8245 and 10.8245 Å and the angles 90.00°, 90.00° and 90.00°. The distinct sites, in fractional coordinates, are Rb at (0.2500, 0.2500, 0.2500), Sr at (0.0000, 0.0000, 0.0000), Hf at (0.0000, 0.0000, 0.5000) and Cl at (0.0000, 0.0000, 0.2630).

---

5.
The following is a PBE-GGA calculation of RbHf2TlCl after structural relaxation, from Alexandria via LeMat-Bulk.

As for the crystal system: tetragonal.

The structure belongs to space group P4/mmm (No. 123); the cell edges are 5.3576, 5.3576 and 6.2207 Å and the angles 90.00°, 90.00° and 90.00°. The distinct sites, in fractional coordinates, are Rb at (0.0000, 0.0000, 0.0000), Hf at (0.0000, 0.5000, 0.0000), Tl at (0.0000, 0.0000, 0.5000) and Cl at (0.5000, 0.5000, 0.5000).

---

6.
The following is a PBE-GGA calculation of Rb2HfTlCl6 after structural relaxation, from Alexandria via LeMat-Bulk.

As for the crystal system: cubic.

The structure belongs to space group Fm-3m (No. 225); the cell edges are 11.1856, 11.1856 and 11.1856 Å and the angles 90.00°, 90.00° and 90.00°. The distinct sites, in fractional coordinates, are Rb at (0.2500, 0.2500, 0.2500), Hf at (0.0000, 0.0000, 0.0000), Tl at (0.0000, 0.0000, 0.5000) and Cl at (0.0000, 0.0000, 0.2243).

---

Number 1: magnetic moment 0.00 μB per formula unit, ΔE_f (raw) 0.3671 eV per atom. Number 2: magnetic moment 0.00 μB per formula unit, ΔE_f (raw) -1.3891 eV per atom. Number 3: magnetic moment 0.00 μB per formula unit, ΔE_f (raw) 2.2861 eV per atom. Number 4: magnetic moment 2.00 μB per formula unit, ΔE_f (raw) -1.7726 eV per atom. Number 5: magnetic moment 0.00 μB per formula unit, ΔE_f (raw) 2.0419 eV per atom. Number 6: magnetic moment 1.00 μB per formula unit, ΔE_f (raw) -1.6092 eV per atom.